Entry 1:
La6Rh3BrCl2 | PBE | optimized geometry

a = 19.6869 Å, b = 4.1576 Å, c = 9.1451 Å
α = 90.00°, β = 110.61°, γ = 90.00°
Closest atoms and distances in Å follow each position.
Space group C2/m (No. 12)
Unique sites:
La: 0.0106 0.0000 0.2205 (multiplicity 4)  3 Rh 2.85-2.88
La: 0.1573 0.5000 0.1082 (multiplicity 4)  3 Rh 2.87-2.90
La: 0.1780 0.5000 0.5565 (multiplicity 4)  3 Rh 2.86-2.88
Rh: 0.0000 0.5000 0.0000 (multiplicity 2)  6 La 2.85-2.90
Rh: 0.1668 0.0000 0.3314 (multiplicity 4)  6 La 2.86-2.88
Br: 0.0000 0.5000 0.5000 (multiplicity 2)  6 La 3.36
Cl: 0.1672 0.0000 0.8336 (multiplicity 4)  6 La 3.31-3.36

V (A^3/atom): 29.19
DOS(E_F) (states/eV per cell): 6.2
E_form (uncorrected) (meV/atom): -1253
Total DFT energy (no corrections) (eV/atom): -6.002

---

Entry 2:
Ba3Er3TmSe8 | PBE | optimized geometry

a = 8.3574 Å, b = 8.3574 Å, c = 22.5932 Å
α = 90.00°, β = 90.00°, γ = 120.00°
Closest atoms and distances in Å follow each position.
Space group R-3m (No. 166, hexagonal axes)
Unique sites:
Ba: 0.0000 0.5000 0.0000 (multiplicity 9)  6 Se 3.25-3.27
Er: 0.0000 0.5000 0.5000 (multiplicity 9)  6 Se 2.87-2.89
Tm: 0.0000 0.0000 0.5000 (multiplicity 3)  6 Se 2.88
Se: 0.0000 0.0000 0.2367 (multiplicity 6)  3 Er 2.89
Se: 0.0010 0.5005 0.7640 (multiplicity 18)  2 Er 2.87, 1 Tm 2.88

V (A^3/atom): 30.37
DOS(E_F) (states/eV per cell): 10.3
E_form (uncorrected) (meV/atom): -1909
Total DFT energy (no corrections) (eV/atom): -5.363

---

Question: The highest DOS(E_F) belongs to which entry?
Answer: Ba3Er3TmSe8